Entry from Alexandria via LeMat-Bulk: NiMoO2 after structural relaxation (PBE with a Hubbard U).

Output
ρ = 6.58 g cm⁻³
ΔE to the lowest computed polymorph = 130 meV/atom

The structure in CIF format:
```
data_NiMoO2
_chemical_formula_sum 'Ni3 Mo3 O6'
_cell_length_a 3.0027
_cell_length_b 3.0027
_cell_length_c 18.1056
_cell_angle_alpha 90.00
_cell_angle_beta 90.00
_cell_angle_gamma 120.00
_space_group_name_H-M_alt 'R -3 m'
_space_group_IT_number 166
_space_group_name_Hall '-R 3 2"'
loop_
_atom_site_label
_atom_site_type_symbol
_atom_site_fract_x
_atom_site_fract_y
_atom_site_fract_z
_atom_site_occupancy
Ni1 Ni 0.0000 0.0000 0.0000 1
Mo1 Mo 0.0000 0.0000 0.5000 1
O1 O 0.0000 0.0000 0.3944 1
```